Entry 1:
Entry from Alexandria via LeMat-Bulk: crystalline TbPrTePb at its relaxed geometry (PBE-GGA).

Summary:
Density of states at the Fermi level in states/eV per cell: 4.24
Formation energy from raw total energies in kJ/mol of formula units: -382
V in Å³ per atom: 32.4

The structure in CIF format:
```
data_TbPrTePb
_chemical_formula_sum 'Tb3 Pr3 Te3 Pb3'
_space_group_name_H-M_alt 'R 3 m'
_space_group_IT_number 160
_space_group_name_Hall 'R 3 -2"'
_cell_length_a 4.5088
_cell_length_b 4.5088
_cell_length_c 22.1145
_cell_angle_alpha 90.00
_cell_angle_beta 90.00
_cell_angle_gamma 120.00
loop_
_atom_site_label
_atom_site_type_symbol
_atom_site_fract_x
_atom_site_fract_y
_atom_site_fract_z
_atom_site_occupancy
Tb1 Tb 0.0000 0.0000 0.0000 1
Pr1 Pr 0.0000 0.0000 0.4951 1
Te1 Te 0.0000 0.0000 0.2512 1
Pb1 Pb 0.0000 0.0000 0.7446 1
```

***

Entry 2:
Entry from Alexandria via LeMat-Bulk: crystalline TbPrTlPb at its relaxed geometry (PBE-GGA).

Summary:
Density of states at the Fermi level in states/eV per cell: 6.41
V in Å³ per atom: 29.2
Energy of formation from the pure elements in eV/atom: -0.43
Relative energy among the computed polymorphs in meV per atom: 0

The structure in CIF format:
```
data_TbPrTlPb
_chemical_formula_sum 'Tb2 Pr2 Tl2 Pb2'
_space_group_name_H-M_alt 'I -4 m 2'
_space_group_IT_number 119
_space_group_name_Hall 'I -4 -2'
_cell_length_a 5.1066
_cell_length_b 5.1066
_cell_length_c 8.9681
_cell_angle_alpha 90.00
_cell_angle_beta 90.00
_cell_angle_gamma 90.00
loop_
_atom_site_label
_atom_site_type_symbol
_atom_site_fract_x
_atom_site_fract_y
_atom_site_fract_z
_atom_site_occupancy
Tb1 Tb 0.0000 0.0000 0.0000 1
Pr1 Pr 0.0000 0.0000 0.5000 1
Tl1 Tl 0.0000 0.5000 0.7500 1
Pb1 Pb 0.0000 0.5000 0.2500 1
```

***

Entry 3:
Entry from Alexandria via LeMat-Bulk: crystalline TbPrTlPb at its relaxed geometry (PBE-GGA).

Summary:
Density of states at the Fermi level in states/eV per cell: 9.98
V in Å³ per atom: 29.5
Energy of formation from the pure elements in eV/atom: -0.40
Relative energy among the computed polymorphs in meV per atom: 35

The structure in CIF format:
```
data_TbPrTlPb
_chemical_formula_sum 'Tb4 Pr4 Tl4 Pb4'
_space_group_name_H-M_alt 'F -4 3 m'
_space_group_IT_number 216
_space_group_name_Hall 'F -4 2 3'
_cell_length_a 7.7872
_cell_length_b 7.7872
_cell_length_c 7.7872
_cell_angle_alpha 90.00
_cell_angle_beta 90.00
_cell_angle_gamma 90.00
loop_
_atom_site_label
_atom_site_type_symbol
_atom_site_fract_x
_atom_site_fract_y
_atom_site_fract_z
_atom_site_occupancy
Tb1 Tb 0.0000 0.0000 0.0000 1
Pr1 Pr 0.0000 0.0000 0.5000 1
Tl1 Tl 0.2500 0.2500 0.2500 1
Pb1 Pb 0.2500 0.2500 0.7500 1
```

***

Entry 4:
Entry from Alexandria via LeMat-Bulk: crystalline Tb6Pr2Tm3Pb at its relaxed geometry (PBE-GGA).

Summary:
Density of states at the Fermi level in states/eV per cell: 27.22
V in Å³ per atom: 31.3
Energy of formation from the pure elements in eV/atom: -0.06

The structure in CIF format:
```
data_Tb6Pr2Tm3Pb
_chemical_formula_sum 'Tb12 Pr4 Tm6 Pb2'
_space_group_name_H-M_alt 'C 1 2/m 1'
_space_group_IT_number 12
_space_group_name_Hall '-C 2y'
_cell_length_a 6.1096
_cell_length_b 10.5860
_cell_length_c 11.7988
_cell_angle_alpha 90.00
_cell_angle_beta 99.95
_cell_angle_gamma 90.00
loop_
_atom_site_label
_atom_site_type_symbol
_atom_site_fract_x
_atom_site_fract_y
_atom_site_fract_z
_atom_site_occupancy
Tb1 Tb 0.2421 0.0000 0.2456 1
Tb2 Tb 0.2473 0.1633 0.7534 1
Pr1 Pr 0.0000 0.3340 0.5000 1
Tm1 Tm 0.0000 0.1674 0.0000 1
Tm2 Tm 0.0000 0.5000 0.0000 1
Pb1 Pb 0.0000 0.0000 0.5000 1
```

***

Entry 5:
Entry from Alexandria via LeMat-Bulk: crystalline Tb6Pr2Y3Pb at its relaxed geometry (PBE-GGA).

Summary:
Density of states at the Fermi level in states/eV per cell: 28.56
V in Å³ per atom: 31.9
Energy of formation from the pure elements in eV/atom: -0.07

The structure in CIF format:
```
data_Tb6Pr2Y3Pb
_chemical_formula_sum 'Tb12 Pr4 Y6 Pb2'
_space_group_name_H-M_alt 'C 1 2/m 1'
_space_group_IT_number 12
_space_group_name_Hall '-C 2y'
_cell_length_a 6.1506
_cell_length_b 10.6584
_cell_length_c 11.8502
_cell_angle_alpha 90.00
_cell_angle_beta 99.99
_cell_angle_gamma 90.00
loop_
_atom_site_label
_atom_site_type_symbol
_atom_site_fract_x
_atom_site_fract_y
_atom_site_fract_z
_atom_site_occupancy
Tb1 Tb 0.2425 0.0000 0.2485 1
Tb2 Tb 0.2461 0.1631 0.7506 1
Pr1 Pr 0.0000 0.3339 0.5000 1
Y1 Y 0.0000 0.1672 0.0000 1
Y2 Y 0.0000 0.5000 0.0000 1
Pb1 Pb 0.0000 0.0000 0.5000 1
```

***

Entry 6:
Entry from Alexandria via LeMat-Bulk: crystalline Tb3Pr2Y6Pb at its relaxed geometry (PBE-GGA).

Summary:
Density of states at the Fermi level in states/eV per cell: 28.92
V in Å³ per atom: 31.9
Energy of formation from the pure elements in eV/atom: -0.07

The structure in CIF format:
```
data_Tb3Pr2Y6Pb
_chemical_formula_sum 'Tb6 Pr4 Y12 Pb2'
_space_group_name_H-M_alt 'C 1 2/m 1'
_space_group_IT_number 12
_space_group_name_Hall '-C 2y'
_cell_length_a 6.1586
_cell_length_b 10.6711
_cell_length_c 11.8132
_cell_angle_alpha 90.00
_cell_angle_beta 100.05
_cell_angle_gamma 90.00
loop_
_atom_site_label
_atom_site_type_symbol
_atom_site_fract_x
_atom_site_fract_y
_atom_site_fract_z
_atom_site_occupancy
Tb1 Tb 0.0000 0.0000 0.0000 1
Tb2 Tb 0.0000 0.3328 0.0000 1
Pr1 Pr 0.0000 0.1662 0.5000 1
Y1 Y 0.2430 0.5000 0.2492 1
Y2 Y 0.2455 0.3370 0.7499 1
Pb1 Pb 0.0000 0.5000 0.5000 1
```

***

Entry 7:
Entry from Alexandria via LeMat-Bulk: crystalline TbPrZnPb at its relaxed geometry (PBE-GGA).

Summary:
Density of states at the Fermi level in states/eV per cell: 13.69
V in Å³ per atom: 27.2
Energy of formation from the pure elements in eV/atom: -0.39

The structure in CIF format:
```
data_TbPrZnPb
_chemical_formula_sum 'Tb4 Pr4 Zn4 Pb4'
_space_group_name_H-M_alt 'F -4 3 m'
_space_group_IT_number 216
_space_group_name_Hall 'F -4 2 3'
_cell_length_a 7.5759
_cell_length_b 7.5759
_cell_length_c 7.5759
_cell_angle_alpha 90.00
_cell_angle_beta 90.00
_cell_angle_gamma 90.00
loop_
_atom_site_label
_atom_site_type_symbol
_atom_site_fract_x
_atom_site_fract_y
_atom_site_fract_z
_atom_site_occupancy
Tb1 Tb 0.0000 0.0000 0.0000 1
Pr1 Pr 0.0000 0.0000 0.5000 1
Zn1 Zn 0.2500 0.2500 0.7500 1
Pb1 Pb 0.2500 0.2500 0.2500 1
```

***

Entry 8:
Entry from Alexandria via LeMat-Bulk: crystalline Pr4TcPb at its relaxed geometry (PBE-GGA).

Summary:
Density of states at the Fermi level in states/eV per cell: 26.63
V in Å³ per atom: 31.7
Energy of formation from the pure elements in eV/atom: -0.20

The structure in CIF format:
```
data_Pr4TcPb
_chemical_formula_sum 'Pr16 Tc4 Pb4'
_space_group_name_H-M_alt 'C 1 2/c 1'
_space_group_IT_number 15
_space_group_name_Hall '-C 2yc'
_cell_length_a 8.9999
_cell_length_b 13.8796
_cell_length_c 6.4427
_cell_angle_alpha 90.00
_cell_angle_beta 109.25
_cell_angle_gamma 90.00
loop_
_atom_site_label
_atom_site_type_symbol
_atom_site_fract_x
_atom_site_fract_y
_atom_site_fract_z
_atom_site_occupancy
Pr1 Pr 0.1096 0.1681 0.0530 1
Pr2 Pr 0.2191 0.4259 0.3787 1
Tc1 Tc 0.0000 0.0013 0.7500 1
Pb1 Pb 0.0000 0.3749 0.7500 1
```